Record 1
# NdAl2Au6 | Alexandria via LeMat-Bulk | PBE | optimized geometry
# Energy above the lowest structure with this stoichiometry in meV per atom: 0
# Energy of formation from the pure elements in meV per atom: -385
# Density of states at the Fermi level in states/eV per atom: 0.561
# Space group: No. 12
data_NdAl2Au6
_cell_length_a 6.9185
_cell_length_b 6.9185
_cell_length_c 4.5190
_cell_angle_alpha 100.76
_cell_angle_beta 100.76
_cell_angle_gamma 64.90
_space_group_name_H-M_alt 'P 1'
_space_group_IT_number 1
loop_
_space_group_symop_operation_xyz
'x,y,z'
loop_
_atom_site_label
_atom_site_fract_x
_atom_site_fract_y
_atom_site_fract_z
_atom_site_occupancy
Nd1 0.0000 0.0000 0.0000 1
Al1 0.3071 0.3071 0.2888 1
Al2 0.6929 0.6929 0.7112 1
Au1 0.1222 0.5107 0.7985 1
Au2 0.2956 0.7044 0.5000 1
Au3 0.4893 0.8778 0.2015 1
Au4 0.5107 0.1222 0.7985 1
Au5 0.7044 0.2956 0.5000 1
Au6 0.8778 0.4893 0.2015 1



Record 2
# Pm3Si2I | Alexandria via LeMat-Bulk | PBE | optimized geometry
# Density of states at the Fermi level in states/eV per atom: 0.167
# Space group: No. 74
# E_form (uncorrected) in kJ per mole of atoms: -44.5
data_Pm3Si2I
_cell_length_a 8.5350
_cell_length_b 8.5350
_cell_length_c 8.5350
_cell_angle_alpha 127.52
_cell_angle_beta 82.73
_cell_angle_gamma 121.17
_space_group_name_H-M_alt 'P 1'
_space_group_IT_number 1
loop_
_space_group_symop_operation_xyz
'x,y,z'
loop_
_atom_site_label
_atom_site_fract_x
_atom_site_fract_y
_atom_site_fract_z
_atom_site_occupancy
Pm1 0.0000 0.2370 0.2370 1
Pm2 0.0000 0.7630 0.7630 1
Pm3 0.5000 0.0000 0.0000 1
Pm4 0.5000 0.2370 0.7370 1
Pm5 0.5000 0.5000 0.5000 1
Pm6 0.5000 0.7630 0.2630 1
Si1 0.2971 0.7268 0.5703 1
Si2 0.3434 0.2732 0.0703 1
Si3 0.6566 0.7268 0.9297 1
Si4 0.7029 0.2732 0.4297 1
I1 0.1489 0.8989 0.2500 1
I2 0.8511 0.1011 0.7500 1



Q: density of states at the Fermi level of number 1 (NdAl2Au6)?
A: 0.561 states/eV per atom



Q: density of states at the Fermi level of number 1 (NdAl2Au6)?
A: 0.561 states/eV per atom